First-principles (PBE+U) data for a relaxed Ni2S3O12 crystal, as listed in Alexandria.

```
Ni2S3O12
1.0
-0.8291 -8.1866 3.3962
2.2061 -7.4735 -4.3037
6.8473 -5.2397 2.2139
O S Ni
24 6 4
Direct
0.5279 0.2173 0.1488
0.2017 0.9826 0.3949
0.4721 0.7827 0.8512
0.0174 0.6051 0.7983
0.2173 0.1488 0.5279
0.2597 0.8721 0.1296
0.4616 0.8277 0.5064
0.1723 0.4936 0.5384
0.7983 0.0174 0.6051
0.9826 0.3949 0.2017
0.1488 0.5279 0.2173
0.6051 0.7983 0.0174
0.5384 0.1723 0.4936
0.5064 0.4616 0.8277
0.8512 0.4721 0.7827
0.8721 0.1296 0.2597
0.3949 0.2017 0.9826
0.7403 0.1279 0.8704
0.7827 0.8512 0.4721
0.1296 0.2597 0.8721
0.4936 0.5384 0.1723
0.8704 0.7403 0.1279
0.8277 0.5064 0.4616
0.1279 0.8704 0.7403
0.7460 0.0434 0.4596
0.0434 0.4596 0.7460
0.4596 0.7460 0.0434
0.2540 0.9566 0.5404
0.9566 0.5404 0.2540
0.5404 0.2540 0.9566
0.3480 0.3480 0.3480
0.8567 0.8567 0.8567
0.6520 0.6520 0.6520
0.1433 0.1433 0.1433
```

Properties
E above lowest polymorph	0.00	eV per formula unit
final energy	-5.656	eV/atom